# 1
Entry from Alexandria via LeMat-Bulk: a relaxed Ho7Er2Mg2 crystal (PBE-GGA).

Output
ΔH_f (0 K) ... 5 meV per atom
Relative energy among the computed polymorphs ... 0 meV/atom
Space-group type ... No. 2

a = 6.489 Å, b = 6.516 Å, c = 8.462 Å
α = 68.64°, β = 77.31°, γ = 83.98°
Fractional coordinates of all 11 atoms:
1 Ho 0.000 0.000 0.000
2 Ho 0.042 0.433 0.198
3 Ho 0.286 0.332 0.533
4 Ho 0.463 0.299 0.909
5 Ho 0.537 0.701 0.091
6 Ho 0.714 0.668 0.467
7 Ho 0.958 0.567 0.802
8 Er 0.208 0.901 0.382
9 Er 0.792 0.099 0.618
10 Mg 0.370 0.826 0.741
11 Mg 0.630 0.174 0.259

***

# 2
Entry from Alexandria via LeMat-Bulk: a relaxed HoEr3Mg12 crystal (PBE-GGA).

Output
ΔH_f (0 K) ... -51 meV per atom
Space-group type ... No. 123

a = 4.606 Å, b = 4.606 Å, c = 18.919 Å
α = 90.00°, β = 90.00°, γ = 90.00°
Fractional coordinates of all 16 atoms:
1 Ho 0.000 0.000 0.000
2 Er 0.000 0.000 0.250
3 Er 0.000 0.000 0.500
4 Er 0.000 0.000 0.750
5 Mg 0.000 0.500 0.125
6 Mg 0.000 0.500 0.375
7 Mg 0.000 0.500 0.625
8 Mg 0.000 0.500 0.875
9 Mg 0.500 0.000 0.125
10 Mg 0.500 0.000 0.375
11 Mg 0.500 0.000 0.625
12 Mg 0.500 0.000 0.875
13 Mg 0.500 0.500 0.000
14 Mg 0.500 0.500 0.251
15 Mg 0.500 0.500 0.500
16 Mg 0.500 0.500 0.749

***

# 3
Entry from Alexandria via LeMat-Bulk: a relaxed Ho12Er7Mg crystal (PBE-GGA).

Output
ΔH_f (0 K) ... 833 meV per atom
Relative energy among the computed polymorphs ... 614 meV/atom
Space-group type ... No. 204

a = 10.306 Å, b = 10.306 Å, c = 10.306 Å
α = 109.47°, β = 109.47°, γ = 109.47°
Fractional coordinates of all 20 atoms:
1 Ho 0.096 0.739 0.357
2 Ho 0.261 0.357 0.618
3 Ho 0.261 0.643 0.904
4 Ho 0.357 0.096 0.739
5 Ho 0.357 0.618 0.261
6 Ho 0.382 0.739 0.643
7 Ho 0.618 0.261 0.357
8 Ho 0.643 0.382 0.739
9 Ho 0.643 0.904 0.261
10 Ho 0.739 0.357 0.096
11 Ho 0.739 0.643 0.382
12 Ho 0.904 0.261 0.643
13 Er 0.000 0.000 0.500
14 Er 0.000 0.500 0.000
15 Er 0.000 0.500 0.500
16 Er 0.500 0.000 0.000
17 Er 0.500 0.000 0.500
18 Er 0.500 0.500 0.000
19 Er 0.500 0.500 0.500
20 Mg 0.000 0.000 0.000

***

# 4
Entry from Alexandria via LeMat-Bulk: a relaxed HoEr8Mg2 crystal (PBE-GGA).

Output
ΔH_f (0 K) ... 155 meV per atom
Space-group type ... No. 12

a = 8.803 Å, b = 8.803 Å, c = 5.570 Å
α = 102.10°, β = 102.10°, γ = 121.09°
Fractional coordinates of all 11 atoms:
1 Ho 0.000 0.000 0.000
2 Er 0.098 0.320 0.629
3 Er 0.212 0.788 0.000
4 Er 0.320 0.098 0.629
5 Er 0.405 0.405 0.202
6 Er 0.595 0.595 0.798
7 Er 0.680 0.902 0.371
8 Er 0.788 0.212 0.000
9 Er 0.902 0.680 0.371
10 Mg 0.307 0.693 0.500
11 Mg 0.693 0.307 0.500